Material: CrReTc4
Method: DFT, PBE
State: relaxed

The formation energy is 364 meV/atom.

Cell: 7.1359 7.1359 7.1359 Å, 90.00 90.00 90.00°
Closest atoms and distances in Å follow each position.
Space group F-43m (No. 216)
One atom of each set of equivalent atoms:
Cr 0.0000 0.0000 0.0000  12 Tc 2.96, 4 Re 3.09
Re 0.2500 0.2500 0.2500  12 Tc 2.96, 4 Cr 3.09
Tc 0.1262 0.1262 0.6262  6 Tc 2.50-2.55